Entry 1:
Computed, not measured: crystalline NaCuICl at its relaxed geometry at the PBE-GGA level of DFT.

**Energy relative to the elements, uncorrected**: -3.34 eV per formula unit
**SG**: Pm (6)
**Total moment**: 0.000 μB per atom

Cell: 4.211 4.473 6.272 Å, 89.94 90.00 90.00°
Fractional positions:
I 0.500 0.450 0.316
Cl 0.000 0.949 0.728
Cu 0.500 0.950 0.530
Na 0.000 0.448 0.959

=====

Entry 2:
Computed, not measured: crystalline Ca2NdTlN at its relaxed geometry at the PBE-GGA level of DFT.

**Energy relative to the elements, uncorrected**: -3.58 eV per formula unit
**SG**: P4/mmm (123)
**Total moment**: 0.000 μB per atom

Cell: 5.013 4.964 4.964 Å, 90.00 90.00 90.00°
Fractional positions:
N 0.000 0.000 0.000
Tl 0.500 0.500 0.500
Ca 0.000 0.500 0.000
Ca 0.000 0.000 0.500
Nd 0.500 0.000 0.000

=====

Entry 3:
Computed, not measured: crystalline SnSb4Au5 at its relaxed geometry at the PBE-GGA level of DFT.

**Energy relative to the elements, uncorrected**: -0.68 eV per formula unit
**SG**: I4/mmm (139)
**Total moment**: 0.000 μB per atom

Cell: 4.064 4.064 14.689 Å, 97.95 97.95 90.00°
Fractional positions:
Au 0.300 0.300 0.601
Au 0.101 0.101 0.201
Au 0.700 0.700 0.399
Au 0.500 0.500 0.000
Au 0.899 0.899 0.799
Sn 0.000 0.000 0.000
Sb 0.799 0.799 0.598
Sb 0.599 0.599 0.199
Sb 0.201 0.201 0.402
Sb 0.401 0.401 0.801

=====

Entry 4:
Computed, not measured: crystalline KOsPb2 at its relaxed geometry at the PBE-GGA level of DFT.

**Excess energy over the best structure of this formula in the dataset**: 2.88 eV per formula unit
**SG**: F-43m (216)
**Total moment**: 0.180 μB per atom

Cell: 5.254 5.254 5.254 Å, 60.00 60.00 60.00°
Site moments in Bohr magnetons follow the coordinates.
Fractional positions:
Pb 0.250 0.250 0.250  -0.01
Pb 0.000 0.000 0.000  -0.03
Os 0.750 0.750 0.750  0.69
K 0.500 0.500 0.500  0.01

=====

Entry 5:
Computed, not measured: crystalline Li3PmAu3 at its relaxed geometry at the PBE-GGA level of DFT.

**Excess energy over the best structure of this formula in the dataset**: 2.85 eV per formula unit
**SG**: Pm-3n (223)
**Total moment**: 0.000 μB per atom

Cell: 6.714 6.714 6.714 Å, 90.00 90.00 90.00°
Fractional positions:
Li 0.750 0.000 0.500
Li 0.000 0.500 0.750
Li 0.500 0.250 0.000
Li 0.000 0.500 0.250
Li 0.250 0.000 0.500
Li 0.500 0.750 0.000
Au 0.750 0.500 0.000
Au 0.500 0.000 0.250
Au 0.500 0.000 0.750
Au 0.250 0.500 0.000
Au 0.000 0.750 0.500
Au 0.000 0.250 0.500
Pm 0.000 0.000 0.000
Pm 0.500 0.500 0.500

=====

Entry 6:
Computed, not measured: crystalline Sm2P2Pt at its relaxed geometry at the PBE-GGA level of DFT.

**SG**: C2/m (12)
**Total DFT energy (no corrections)**: -6.537 eV/atom
**Total moment**: 0.000 μB per atom

Cell: 4.121 5.805 9.794 Å, 77.34 77.85 69.21°
Fractional positions:
P 0.658 0.817 0.868
P 0.042 0.330 0.586
P 0.958 0.670 0.414
P 0.342 0.183 0.132
Sm 0.907 0.285 0.902
Sm 0.093 0.715 0.098
Sm 0.299 0.754 0.648
Sm 0.701 0.246 0.352
Pt 0.572 0.178 0.678
Pt 0.428 0.822 0.322

=====

Entry 7:
Computed, not measured: crystalline LaCeZnRh at its relaxed geometry at the PBE-GGA level of DFT.

**SG**: F-43m (216)
**Total DFT energy (no corrections)**: -5.292 eV/atom
**Total moment**: 0.170 μB per atom

Cell: 5.106 5.106 5.106 Å, 60.00 60.00 60.00°
Site moments in Bohr magnetons follow the coordinates.
Fractional positions:
La 0.500 0.500 0.500  0.02
Ce 0.000 0.000 0.000  0.59
Rh 0.750 0.750 0.750  -0.03
Zn 0.250 0.250 0.250  0.01

=====

Entry 8:
Computed, not measured: crystalline Y2Ga4AgPt3 at its relaxed geometry at the PBE-GGA level of DFT.

**SG**: P-4m2 (115)
**Total DFT energy (no corrections)**: -5.422 eV/atom
**Total moment**: 0.000 μB per atom

Cell: 4.190 4.190 10.884 Å, 90.00 90.00 90.00°
Fractional positions:
Y 0.000 0.500 0.759
Y 0.500 0.000 0.241
Ga 0.000 0.500 0.362
Ga 0.500 0.500 0.000
Ga 0.500 0.000 0.638
Ga 0.000 0.000 0.000
Pt 0.000 0.000 0.500
Pt 0.000 0.500 0.136
Pt 0.500 0.000 0.864
Ag 0.500 0.500 0.500

=====

Entry 9:
Computed, not measured: crystalline NdScCd2 at its relaxed geometry at the PBE-GGA level of DFT.

**Excess energy over the best structure of this formula in the dataset**: 0.05 eV per formula unit
**SG**: Fm-3m (225)
**Total moment**: 0.128 μB per atom

Cell: 5.248 5.248 5.248 Å, 60.00 60.00 60.00°
Site moments in Bohr magnetons follow the coordinates.
Fractional positions:
Cd 0.750 0.750 0.750  0.01
Cd 0.250 0.250 0.250  0.01
Nd 0.500 0.500 0.500  0.09
Sc 0.000 0.000 0.000  0.20

=====

Entry 10:
Computed, not measured: crystalline Ac8Pm2Nd at its relaxed geometry at the PBE-GGA level of DFT.

**SG**: C2/m (12)
**Total DFT energy (no corrections)**: -3.937 eV/atom
**Total moment**: 0.000 μB per atom

Cell: 6.272 9.110 9.110 Å, 85.55 80.95 80.95°
Fractional positions:
Ac 0.291 0.421 0.421
Ac 0.196 0.367 0.857
Ac 0.804 0.143 0.633
Ac 0.196 0.857 0.367
Ac 0.709 0.579 0.579
Ac 0.493 0.143 0.143
Ac 0.804 0.633 0.143
Ac 0.507 0.857 0.857
Pm 0.918 0.262 0.262
Pm 0.082 0.738 0.738
Nd 0.000 0.000 0.000

=====

Entry 11:
Computed, not measured: crystalline PtPbO3 at its relaxed geometry at the PBE-GGA level of DFT.

**Energy relative to the elements, uncorrected**: -2.91 eV per formula unit
**SG**: C2/m (12)
**Total moment**: 0.000 μB per atom

Cell: 3.877 6.556 6.426 Å, 90.14 72.44 90.00°
Fractional positions:
Pb 0.635 0.155 0.449
Pb 0.391 0.656 0.936
O 0.871 0.446 0.975
O 0.871 0.866 0.975
O 0.154 0.365 0.411
O 0.155 0.945 0.410
O 0.433 0.156 0.852
O 0.593 0.655 0.534
Pt 0.131 0.655 0.457
Pt 0.895 0.156 0.928

=====

Entry 12:
Computed, not measured: crystalline PmYPu2 at its relaxed geometry at the PBE-GGA level of DFT.

**SG**: P4/mmm (123)
**Total DFT energy (no corrections)**: -9.758 eV/atom
**Total moment**: 3.158 μB per atom

Cell: 5.075 4.868 4.868 Å, 90.00 90.00 90.00°
Site moments in Bohr magnetons follow the coordinates.
Fractional positions:
Pm 0.500 0.000 0.000  0.14
Pu 0.000 0.500 0.000  5.57
Pu 0.000 0.000 0.500  5.57
Y 0.500 0.500 0.500  0.15